# CsCuHg3 SCAN PBEsol geometry
# - D(E_F): 0.622 states/eV/cell
# - Calculated density: 4.36 g/cm³
# - Calculated formation energy: 3.7 eV per formula unit
# - Excess energy over the best structure of this formula in the dataset: 4.51 eV per formula unit
data_CsCuHg3
_chemical_formula_sum 'Cs1 Cu1 Hg3'
_symmetry_space_group_name_H-M 'P m -3 m'
_symmetry_Int_Tables_number 221
_symmetry_space_group_name_Hall '-P 4 2 3'
_cell_length_a 6.726
_cell_length_b 6.726
_cell_length_c 6.726
_cell_angle_alpha 90.00
_cell_angle_beta 90.00
_cell_angle_gamma 90.00
loop_
_atom_site_label
_atom_site_type_symbol
_atom_site_fract_x
_atom_site_fract_y
_atom_site_fract_z
Cs1 Cs 0.000 0.000 0.000
Cu1 Cu 0.500 0.500 0.500
Hg1 Hg 0.000 0.000 0.500